The following is a GGA+U calculation of crystalline NdCrS2O at its relaxed geometry, from Alexandria.

Results
The total energy is -6.960 eV/atom. The value obtained for the size of the total moment is 12.00 μB per cell. The density of states at the Fermi level is 0.1 states/eV/f.u.

```
data_NdCrS2O
_cell_length_a 11.637
_cell_length_b 3.730
_cell_length_c 7.986
_cell_angle_alpha 90.00
_cell_angle_beta 90.14
_cell_angle_gamma 90.00
_symmetry_space_group_name_H-M 'C 1 2/m 1'
_symmetry_Int_Tables_number 12
loop_
_symmetry_equiv_pos_as_xyz
'x,y,z'
'-x,-y,-z'
'-x,y,-z'
'x,-y,z'
'x+1/2,y+1/2,z'
'-x+1/2,-y+1/2,-z'
'-x+1/2,y+1/2,-z'
'x+1/2,-y+1/2,z'
loop_
_atom_site_label
_atom_site_type_symbol
_atom_site_fract_x
_atom_site_fract_y
_atom_site_fract_z
Nd1 Nd 0.234 0.000 0.294
Cr1 Cr 0.000 0.000 0.000
Cr2 Cr 0.000 0.500 0.500
S1 S 0.046 0.000 0.698
S2 S 0.137 0.500 0.029
O1 O 0.167 0.500 0.439
```